No. 1
CaCrSn3: relaxed, PBE.

a = 5.6925 Å, b = 5.6925 Å, c = 5.6925 Å
α = 90.00°, β = 90.00°, γ = 90.00°
With the nearest neighbours (Å) after each atom.
Sites, in units of the cell vectors:
1 Sn 0.0000 0.5000 0.0000  2 Ca 2.85
2 Ca 0.0000 0.0000 0.0000  6 Sn 2.85
3 Sn 0.5000 0.0000 0.0000  2 Ca 2.85
4 Cr 0.5000 0.5000 0.5000  12 Sn 4.03
5 Sn 0.0000 0.0000 0.5000  2 Ca 2.85

Computed properties:
density of states at the Fermi level	5.08	states/eV per cell
energy relative to the elements	1.056	eV/atom
calculated density	4.03	g/cm3

No. 2
Ca2CrSn: relaxed, PBE.

a = 8.4785 Å, b = 8.4785 Å, c = 6.8368 Å
α = 51.68°, β = 51.68°, γ = 90.00°
With the nearest neighbours (Å) after each atom.
Sites, in units of the cell vectors:
1 Ca 0.1308 0.6250 0.2500  2 Cr 3.07, 2 Sn 3.14, 2 Ca 3.29
2 Ca 0.3750 0.3808 0.7500  2 Cr 3.07, 2 Sn 3.14, 2 Ca 3.29
3 Cr 0.2500 0.7500 0.5000  4 Ca 3.07, 2 Sn 3.29
4 Sn 0.0000 0.0000 0.0000  4 Ca 3.14, 2 Cr 3.29
5 Cr 0.5000 0.5000 0.0000  4 Ca 3.07, 2 Sn 3.29
6 Ca 0.6192 0.1250 0.2500  2 Cr 3.07, 2 Sn 3.14, 2 Ca 3.29
7 Ca 0.8750 0.8692 0.7500  2 Cr 3.07, 2 Sn 3.14, 2 Ca 3.29
8 Sn 0.7500 0.2500 0.5000  4 Ca 3.14, 2 Cr 3.29

Computed properties:
density of states at the Fermi level	5.35	states/eV per cell
energy relative to the elements	0.331	eV/atom
calculated density	3.53	g/cm3

No. 3
CaCrSn: relaxed, PBE.

a = 4.8800 Å, b = 7.0559 Å, c = 8.1609 Å
α = 90.00°, β = 90.00°, γ = 90.00°
With the nearest neighbours (Å) after each atom.
Sites, in units of the cell vectors:
1 Cr 0.5000 0.8735 0.1697  1 Cr 1.78
2 Cr 0.5000 0.1265 0.1697  1 Cr 1.78
3 Ca 0.0000 0.0000 0.9415  6 Cr 3.20-3.44, 4 Sn 3.28
4 Sn 0.0000 0.7907 0.3457  3 Cr 2.89, 1 Sn 2.95, 1 Ca 3.18
5 Ca 0.0000 0.5000 0.0482  6 Sn 3.18-3.30, 2 Cr 3.22
6 Sn 0.5000 0.2907 0.8457  3 Cr 2.89, 1 Sn 2.95, 1 Ca 3.18
7 Ca 0.5000 0.0000 0.5482  6 Sn 3.18-3.30, 2 Cr 3.22
8 Cr 0.0000 0.6265 0.6697  1 Cr 1.78
9 Cr 0.0000 0.3735 0.6697  1 Cr 1.78
10 Ca 0.5000 0.5000 0.4415  6 Cr 3.20-3.44, 4 Sn 3.28
11 Sn 0.0000 0.2093 0.3457  3 Cr 2.89, 1 Sn 2.95, 1 Ca 3.18
12 Sn 0.5000 0.7093 0.8457  3 Cr 2.89, 1 Sn 2.95, 1 Ca 3.18

Computed properties:
density of states at the Fermi level	3.11	states/eV per cell
energy relative to the elements	-0.050	eV/atom
calculated density	4.98	g/cm3

No. 4
CaCr2Sn: relaxed, PBE.

a = 7.6131 Å, b = 7.6131 Å, c = 6.0729 Å
α = 51.19°, β = 51.19°, γ = 90.00°
With the nearest neighbours (Å) after each atom.
Sites, in units of the cell vectors:
1 Sn 0.0000 0.0000 0.0000  4 Cr 2.61, 2 Ca 2.81
2 Cr 0.8750 0.9083 0.7500  2 Sn 2.61, 2 Cr 2.86
3 Cr 0.3750 0.3417 0.7500  2 Sn 2.61, 2 Cr 2.86
4 Ca 0.2500 0.7500 0.5000  2 Sn 2.81, 4 Cr 2.96
5 Cr 0.6583 0.1250 0.2500  2 Sn 2.61, 2 Cr 2.86
6 Cr 0.0917 0.6250 0.2500  2 Sn 2.61, 2 Cr 2.86
7 Ca 0.5000 0.5000 0.0000  2 Sn 2.81, 4 Cr 2.96
8 Sn 0.7500 0.2500 0.5000  4 Cr 2.61, 2 Ca 2.81

Computed properties:
density of states at the Fermi level	13.92	states/eV per cell
energy relative to the elements	1.192	eV/atom
calculated density	5.36	g/cm3

No. 5
CaCrSn: relaxed, PBE.

a = 3.5031 Å, b = 5.7073 Å, c = 7.2969 Å
α = 81.59°, β = 76.51°, γ = 89.62°
With the nearest neighbours (Å) after each atom.
Sites, in units of the cell vectors:
1 Ca 0.5962 0.8567 0.7698  4 Cr 3.15-3.44, 6 Sn 3.31-3.45, 2 Ca 3.50
2 Sn 0.8993 0.6542 0.1686  3 Cr 2.73-2.84
3 Cr 0.7743 0.3818 0.5235  1 Cr 2.02
4 Ca 0.4038 0.1433 0.2302  4 Cr 3.15-3.44, 6 Sn 3.31-3.45, 2 Ca 3.50
5 Cr 0.2257 0.6182 0.4765  1 Cr 2.02
6 Sn 0.1007 0.3458 0.8314  3 Cr 2.73-2.84

Computed properties:
density of states at the Fermi level	5.18	states/eV per cell
energy relative to the elements	0.048	eV/atom
calculated density	4.99	g/cm3

No. 6
CaCrSnTe2: relaxed, PBE.

a = 5.9026 Å, b = 5.0732 Å, c = 5.9026 Å
α = 90.00°, β = 90.00°, γ = 90.00°
With the nearest neighbours (Å) after each atom.
Sites, in units of the cell vectors:
1 Cr 0.0000 0.5000 0.0000  2 Sn 2.54
2 Sn 0.0000 0.0000 0.0000  2 Cr 2.54
3 Te 0.0000 0.0000 0.5000  2 Sn 2.95
4 Ca 0.5000 0.5000 0.5000  8 Te 3.89, 4 Cr 4.17
5 Te 0.5000 0.0000 0.0000  2 Sn 2.95

Computed properties:
formation energy from raw total energies	0.1471	eV per atom
density of states at the Fermi level	2.77	states/eV per cell
calculated density	4.38	g/cm3